Record 1
Material: InRh2
Method: DFT, GGA-PBE
State: optimized geometry

```
data_InRh2
_symmetry_space_group_name_H-M 'C 1 2/m 1'
_symmetry_Int_Tables_number 12
_cell_length_a 10.143
_cell_length_b 2.941
_cell_length_c 6.817
_cell_angle_alpha 90.00
_cell_angle_beta 107.81
_cell_angle_gamma 90.00
loop_
_symmetry_equiv_pos_as_xyz
'x,y,z'
'-x,-y,-z'
'-x,y,-z'
'x,-y,z'
'x+1/2,y+1/2,z'
'-x+1/2,-y+1/2,-z'
'-x+1/2,y+1/2,-z'
'x+1/2,-y+1/2,z'
loop_
_atom_site_label
_atom_site_type_symbol
_atom_site_fract_x
_atom_site_fract_y
_atom_site_fract_z
_atom_site_occupancy
In1 In 0.031 0.000 0.290 1
Rh1 Rh 0.148 0.500 0.024 1
Rh2 Rh 0.187 0.500 0.636 1
```

Properties
- DOS at the Fermi energy: 13.67 states/eV per cell
- Energy relative to the elements: -47 kJ/mol of formula units

=====

Record 2
Material: In4Rh
Method: DFT, GGA-PBE
State: optimized geometry

```
data_In4Rh
_symmetry_space_group_name_H-M 'I m -3 m'
_symmetry_Int_Tables_number 229
_symmetry_space_group_name_Hall '-I 4 2 3'
_cell_length_a 6.296
_cell_length_b 6.296
_cell_length_c 6.296
_cell_angle_alpha 90.00
_cell_angle_beta 90.00
_cell_angle_gamma 90.00
loop_
_atom_site_label
_atom_site_type_symbol
_atom_site_fract_x
_atom_site_fract_y
_atom_site_fract_z
_atom_site_occupancy
In1 In 0.250 0.250 0.250 1
Rh1 Rh 0.000 0.000 0.000 1
```

Properties
- DOS at the Fermi energy: 10.42 states/eV per cell
- Energy relative to the elements: -58 kJ/mol of formula units

=====

Record 3
Material: InRh
Method: DFT, GGA-PBE
State: optimized geometry

```
data_InRh
_symmetry_space_group_name_H-M 'P 4/n m m'
_symmetry_Int_Tables_number 129
_cell_length_a 3.050
_cell_length_b 3.050
_cell_length_c 7.981
_cell_angle_alpha 90.00
_cell_angle_beta 90.00
_cell_angle_gamma 90.00
loop_
_symmetry_equiv_pos_as_xyz
'x,y,z'
'-x,-y,-z'
'-y+1/2,x,z'
'y+1/2,-x,-z'
'-x+1/2,-y+1/2,z'
'x+1/2,y+1/2,-z'
'y,-x+1/2,z'
'-y,x+1/2,-z'
'x+1/2,-y,-z'
'-x+1/2,y,z'
'-y,-x,-z'
'y,x,z'
'-x,y+1/2,-z'
'x,-y+1/2,z'
'y+1/2,x+1/2,-z'
'-y+1/2,-x+1/2,z'
loop_
_atom_site_label
_atom_site_type_symbol
_atom_site_fract_x
_atom_site_fract_y
_atom_site_fract_z
_atom_site_occupancy
In1 In 0.250 0.250 0.174 1
Rh1 Rh 0.250 0.250 0.610 1
```

Properties
- DOS at the Fermi energy: 5.74 states/eV per cell
- Energy relative to the elements: -6 kJ/mol of formula units

=====

VASP energy for every record listed, in sequence, given in eV per cell: -71.73; -37.82; -20.31.